Computed, not measured: MnFe2 at its PBEsol-relaxed geometry at the SCAN level of DFT.

Summary:
Calculated volume ... 29.7 Å³/f.u.
Total magnetic moment ... 0.0 Bohr magnetons per cell
Raw total energy ... -106.9 eV/cell
Formation energy ... 350 meV per atom

Lattice parameters (Å, degrees): 4.5632 4.5632 5.7202 103.27 103.27 30.94
With the nearest neighbours (Å) after each atom.
Fractional positions:
Mn1 0.0000 0.0000 0.0000  8 Fe 2.38-2.43, 4 Mn 2.43-2.45
Mn2 0.6685 0.6685 0.3354  8 Fe 2.38-2.43, 4 Mn 2.43-2.45
Fe1 0.2785 0.2785 0.0563  5 Mn 2.38-2.39, 7 Fe 2.39-2.44
Fe2 0.3345 0.3345 0.6669  8 Fe 2.38-2.43, 4 Mn 2.43
Fe3 0.6129 0.6129 0.7229  3 Mn 2.38-2.39, 9 Fe 2.38-2.44
Fe4 0.9454 0.9454 0.3897  4 Mn 2.38-2.39, 8 Fe 2.38-2.44